VASP calculation (PBE) on a relaxed VGaRh6 crystal.

Calculated values
Total magnetization, μB/cell: 0.000
ΔE_f, kJ per mole of atoms: -35.31
Offset from the most stable computed form, meV/atom: 0
Density of states at the Fermi level, states/eV/f.u.: 7.8

```
data_VGaRh6
_cell_length_a 3.826
_cell_length_b 3.826
_cell_length_c 7.661
_cell_angle_alpha 90.00
_cell_angle_beta 90.00
_cell_angle_gamma 90.00
_symmetry_space_group_name_H-M 'P 4/m m m'
_symmetry_Int_Tables_number 123
_symmetry_space_group_name_Hall '-P 4 2'
loop_
_atom_site_label
_atom_site_fract_x
_atom_site_fract_y
_atom_site_fract_z
V1 0.000 0.000 0.000
Ga1 0.000 0.000 0.500
Rh1 0.000 0.500 0.243
Rh2 0.500 0.500 0.000
Rh3 0.500 0.500 0.500
```